Entry 1:
VASP calculation (PBE) on an optimized crystal structure of GaAgPd6.

Structure (CIF):
```
data_GaAgPd6
_chemical_formula_sum 'Ga1 Ag1 Pd6'
_cell_length_a 4.015
_cell_length_b 4.015
_cell_length_c 7.700
_cell_angle_alpha 90.00
_cell_angle_beta 90.00
_cell_angle_gamma 90.00
_space_group_name_H-M_alt 'P 4/m m m'
_space_group_IT_number 123
_space_group_name_Hall '-P 4 2'
loop_
_atom_site_label
_atom_site_fract_x
_atom_site_fract_y
_atom_site_fract_z
_atom_site_occupancy
Ga1 0.000 0.000 0.000 1
Ag1 0.000 0.000 0.500 1
Pd1 0.000 0.500 0.240 1
Pd2 0.500 0.500 0.000 1
Pd3 0.500 0.500 0.500 1
```

Output
E above lowest polymorph = 0.104 eV per formula unit
Crystal system = tetragonal

---

Entry 2:
VASP calculation (PBE) on an optimized crystal structure of GaAg3Pd.

Structure (CIF):
```
data_GaAg3Pd
_chemical_formula_sum 'Ga1 Ag3 Pd1'
_cell_length_a 5.098
_cell_length_b 5.098
_cell_length_c 5.098
_cell_angle_alpha 90.00
_cell_angle_beta 90.00
_cell_angle_gamma 90.00
_space_group_name_H-M_alt 'P m -3 m'
_space_group_IT_number 221
_space_group_name_Hall '-P 4 2 3'
loop_
_atom_site_label
_atom_site_fract_x
_atom_site_fract_y
_atom_site_fract_z
_atom_site_occupancy
Ga1 0.000 0.000 0.000 1
Ag1 0.000 0.500 0.500 1
Pd1 0.500 0.500 0.500 1
```

Output
E above lowest polymorph = 0.443 eV per formula unit
Crystal system = cubic

---

Entry 3:
VASP calculation (PBE) on an optimized crystal structure of GaAg2Pd.

Structure (CIF):
```
data_GaAg2Pd
_chemical_formula_sum 'Ga3 Ag6 Pd3'
_cell_length_a 2.8442
_cell_length_b 2.8442
_cell_length_c 30.4314
_cell_angle_alpha 90.00
_cell_angle_beta 90.00
_cell_angle_gamma 120.00
_space_group_name_H-M_alt 'R -3 m'
_space_group_IT_number 166
_space_group_name_Hall '-R 3 2"'
loop_
_atom_site_label
_atom_site_fract_x
_atom_site_fract_y
_atom_site_fract_z
_atom_site_occupancy
Ga1 0.0000 0.0000 0.0000 1
Ag1 0.0000 0.0000 0.4115 1
Pd1 0.0000 0.0000 0.5000 1
```

Output
Crystal system = trigonal

---

Entry 4:
VASP calculation (PBE) on an optimized crystal structure of Ga4AgPd7.

Structure (CIF):
```
data_Ga4AgPd7
_chemical_formula_sum 'Ga8 Ag2 Pd14'
_cell_length_a 11.238
_cell_length_b 4.842
_cell_length_c 8.909
_cell_angle_alpha 90.00
_cell_angle_beta 123.44
_cell_angle_gamma 90.00
_space_group_name_H-M_alt 'C 1 2/m 1'
_space_group_IT_number 12
_space_group_name_Hall '-C 2y'
loop_
_atom_site_label
_atom_site_fract_x
_atom_site_fract_y
_atom_site_fract_z
_atom_site_occupancy
Ga1 0.075 0.000 0.278 1
Ga2 0.220 0.000 0.826 1
Ag1 0.000 0.500 0.500 1
Pd1 0.000 0.000 0.500 1
Pd2 0.075 0.500 0.853 1
Pd3 0.147 0.000 0.061 1
Pd4 0.211 0.500 0.394 1
```

Output
Crystal system = monoclinic

---

Entry 5:
VASP calculation (PBE) on an optimized crystal structure of Ga8AgPd2.

Structure (CIF):
```
data_Ga8AgPd2
_chemical_formula_sum 'Ga16 Ag2 Pd4'
_cell_length_a 11.924
_cell_length_b 7.005
_cell_length_c 5.087
_cell_angle_alpha 90.00
_cell_angle_beta 107.40
_cell_angle_gamma 90.00
_space_group_name_H-M_alt 'C 1 2/m 1'
_space_group_IT_number 12
_space_group_name_Hall '-C 2y'
loop_
_atom_site_label
_atom_site_fract_x
_atom_site_fract_y
_atom_site_fract_z
_atom_site_occupancy
Ga1 0.086 0.000 0.236 1
Ga2 0.100 0.217 0.719 1
Ga3 0.193 0.500 0.416 1
Ag1 0.000 0.500 0.000 1
Pd1 0.232 0.500 0.944 1
```

Output
E above lowest polymorph = 0.143 eV per formula unit
Crystal system = monoclinic

---

Entry 6:
VASP calculation (PBE) on an optimized crystal structure of GaAg2Pd8.

Structure (CIF):
```
data_GaAg2Pd8
_chemical_formula_sum 'Ga2 Ag4 Pd16'
_cell_length_a 10.024
_cell_length_b 8.723
_cell_length_c 4.860
_cell_angle_alpha 90.00
_cell_angle_beta 109.95
_cell_angle_gamma 90.00
_space_group_name_H-M_alt 'C 1 2/m 1'
_space_group_IT_number 12
_space_group_name_Hall '-C 2y'
loop_
_atom_site_label
_atom_site_fract_x
_atom_site_fract_y
_atom_site_fract_z
_atom_site_occupancy
Ga1 0.000 0.000 0.000 1
Ag1 0.147 0.000 0.529 1
Pd1 0.068 0.500 0.296 1
Pd2 0.085 0.240 0.827 1
Pd3 0.230 0.500 0.886 1
```

Output
E above lowest polymorph = 2.797 eV per formula unit
Crystal system = monoclinic

---

no.,energy relative to the elements (kJ/mol of formula units),M_tot (μB/f.u.)
1,-167,0.001
2,322,0.000
3,53,0.000
4,-363,0.000
5,-203,0.000
6,161,0.000